Record 1
# Zn2MoAu | Alexandria via LeMat-Bulk | GGA-PBE | optimized geometry
# E_tot, eV/atom: -4.029
# Fermi-level density of states, states/eV/f.u.: 2.91
# Total moment, μB/f.u.: 0.000
data_Zn2MoAu
_chemical_formula_sum 'Zn4 Mo2 Au2'
_space_group_name_H-M_alt 'C 1 2/m 1'
_space_group_IT_number 12
_space_group_name_Hall '-C 2y'
_cell_length_a 8.971
_cell_length_b 2.775
_cell_length_c 5.173
_cell_angle_alpha 90.00
_cell_angle_beta 99.29
_cell_angle_gamma 90.00
loop_
_atom_site_label
_atom_site_type_symbol
_atom_site_fract_x
_atom_site_fract_y
_atom_site_fract_z
Zn1 Zn 0.250 0.000 0.233
Mo1 Mo 0.000 0.500 0.000
Au1 Au 0.000 0.000 0.500

Record 2
# Zn2MoAu | Alexandria via LeMat-Bulk | GGA-PBE | optimized geometry
# E_tot, eV/atom: -4.089
# Fermi-level density of states, states/eV/f.u.: 2.82
# Total moment, μB/f.u.: 0.000
data_Zn2MoAu
_chemical_formula_sum 'Zn4 Mo2 Au2'
_space_group_name_H-M_alt 'C 1 m 1'
_space_group_IT_number 8
_space_group_name_Hall 'C -2y'
_cell_length_a 10.456
_cell_length_b 2.668
_cell_length_c 5.000
_cell_angle_alpha 90.00
_cell_angle_beta 115.29
_cell_angle_gamma 90.00
loop_
_atom_site_label
_atom_site_type_symbol
_atom_site_fract_x
_atom_site_fract_y
_atom_site_fract_z
Zn1 Zn 0.000 0.000 0.000
Zn2 Zn 0.246 0.000 0.560
Mo1 Mo 0.002 0.500 0.508
Au1 Au 0.252 0.500 0.067

Record 3
# ZnMo3Au | Alexandria via LeMat-Bulk | GGA-PBE | optimized geometry
# E_tot, eV/atom: -5.830
# Fermi-level density of states, states/eV/f.u.: 4.63
# Total moment, μB/f.u.: 0.000
data_ZnMo3Au
_chemical_formula_sum 'Zn1 Mo3 Au1'
_space_group_name_H-M_alt 'P m -3 m'
_space_group_IT_number 221
_space_group_name_Hall '-P 4 2 3'
_cell_length_a 4.537
_cell_length_b 4.537
_cell_length_c 4.537
_cell_angle_alpha 90.00
_cell_angle_beta 90.00
_cell_angle_gamma 90.00
loop_
_atom_site_label
_atom_site_type_symbol
_atom_site_fract_x
_atom_site_fract_y
_atom_site_fract_z
Zn1 Zn 0.000 0.000 0.000
Mo1 Mo 0.000 0.000 0.500
Au1 Au 0.500 0.500 0.500

Record 4
# Zn2MoAu | Alexandria via LeMat-Bulk | GGA-PBE | optimized geometry
# E_tot, eV/atom: -3.680
# Fermi-level density of states, states/eV/f.u.: 4.62
# Total moment, μB/f.u.: 0.002
data_Zn2MoAu
_chemical_formula_sum 'Zn8 Mo4 Au4'
_space_group_name_H-M_alt 'I -4 2 d'
_space_group_IT_number 122
_space_group_name_Hall 'I -4 2bw'
_cell_length_a 7.035
_cell_length_b 7.035
_cell_length_c 5.530
_cell_angle_alpha 90.00
_cell_angle_beta 90.00
_cell_angle_gamma 90.00
loop_
_atom_site_label
_atom_site_type_symbol
_atom_site_fract_x
_atom_site_fract_y
_atom_site_fract_z
Zn1 Zn 0.244 0.750 0.125
Mo1 Mo 0.000 0.000 0.500
Au1 Au 0.000 0.000 0.000